Record 1
Entry from the Alexandria database: a relaxed NaCuMoPt2 crystal (PBE).

Lattice parameters (Å, degrees): 4.677 4.373 4.677 90.00 90.00 90.00
Each line ends with the local moment (μB).
Fractional coordinates of all 5 atoms:
1 Na 0.000 0.500 0.000  0.00
2 Mo 0.500 0.500 0.500  3.06
3 Cu 0.000 0.000 0.000  0.02
4 Pt 0.000 0.000 0.500  0.05
5 Pt 0.500 0.000 0.000  0.15

Volume, Å³ per atom: 19.13
E, eV per atom: -4.68
Magnetic moment, μB per atom: 0.78
DOS at the Fermi energy, states/eV/cell: 2.85
Crystal system: tetragonal
Calculated formation energy, meV per atom: 984.2

=====

Record 2
Entry from the Alexandria database: a relaxed RbNaCuMo2 crystal (PBE).

Lattice parameters (Å, degrees): 4.890 5.024 4.890 90.00 90.00 90.00
Each line ends with the local moment (μB).
Fractional coordinates of all 5 atoms:
1 Na 0.000 0.500 0.000  -0.01
2 Mo 0.000 0.000 0.500  1.00
3 Mo 0.500 0.000 0.000  1.57
4 Cu 0.500 0.500 0.500  0.02
5 Rb 0.000 0.000 0.000  0.05

Volume, Å³ per atom: 24.02
E, eV per atom: -2.74
Magnetic moment, μB per atom: 0.61
DOS at the Fermi energy, states/eV/cell: 5.52
Crystal system: tetragonal
Calculated formation energy, meV per atom: 2868.3

=====

Record 3
Entry from the Alexandria database: a relaxed NaCuMoS4 crystal (PBE).

Lattice parameters (Å, degrees): 6.880 6.880 7.471 90.00 90.00 109.47
Fractional coordinates of all 14 atoms:
1 Na 0.500 0.500 0.500
2 Na 0.500 0.500 0.000
3 Cu 0.886 0.114 0.250
4 Cu 0.114 0.886 0.750
5 Mo 0.130 0.870 0.250
6 Mo 0.870 0.130 0.750
7 S 0.215 0.237 0.750
8 S 0.763 0.785 0.750
9 S 0.763 0.237 0.998
10 S 0.763 0.237 0.502
11 S 0.237 0.763 0.002
12 S 0.237 0.763 0.498
13 S 0.785 0.763 0.250
14 S 0.237 0.215 0.250

Volume, Å³ per atom: 23.81
E, eV per atom: -5.26
Magnetic moment, μB per atom: 0.00
Uncorrected formation energy, meV/atom: -581.0
Crystal system: orthorhombic

=====

Record 4
Entry from the Alexandria database: a relaxed NaCu2MoS4 crystal (PBE).

Lattice parameters (Å, degrees): 5.755 5.755 6.466 116.41 116.41 90.03
Fractional coordinates of all 8 atoms:
1 Na 0.000 0.000 0.001
2 Cu 0.750 0.250 0.500
3 Cu 0.250 0.750 0.500
4 Mo 0.500 0.500 0.000
5 S 0.577 0.577 0.721
6 S 0.423 0.857 0.279
7 S 0.857 0.423 0.279
8 S 0.143 0.143 0.721

Volume, Å³ per atom: 20.81
E, eV per atom: -5.10
Magnetic moment, μB per atom: 0.00
Uncorrected formation energy, meV/atom: -495.8
DOS at the Fermi energy, states/eV/cell: 3.15
Crystal system: tetragonal

=====

Record 5
Entry from the Alexandria database: a relaxed Na2CuTcMo crystal (PBE).

Lattice parameters (Å, degrees): 5.823 4.968 5.823 90.00 90.00 90.00
Each line ends with the local moment (μB).
Fractional coordinates of all 5 atoms:
1 Na 0.000 0.000 0.500  0.01
2 Na 0.500 0.000 0.000  -0.01
3 Mo 0.500 0.500 0.500  3.96
4 Tc 0.000 0.000 0.000  -2.69
5 Cu 0.000 0.500 0.000  -0.18

Volume, Å³ per atom: 33.69
E, eV per atom: -3.53
Magnetic moment, μB per atom: 0.38
DOS at the Fermi energy, states/eV/cell: 5.42
Crystal system: tetragonal
Calculated formation energy, meV per atom: 2055.6

=====

Record 6
Entry from the Alexandria database: a relaxed NbCu3Mo crystal (PBE).

Lattice parameters (Å, degrees): 4.519 4.519 4.519 90.00 90.00 90.00
Fractional coordinates of all 5 atoms:
1 Mo 0.000 0.000 0.000
2 Nb 0.500 0.500 0.500
3 Cu 0.000 0.500 0.000
4 Cu 0.000 0.000 0.500
5 Cu 0.500 0.000 0.000

Volume, Å³ per atom: 18.46
Energy relative to the lowest polymorph listed for this composition, meV per atom: 0.0
E, eV per atom: -5.06
Magnetic moment, μB per atom: 0.00
DOS at the Fermi energy, states/eV/cell: 6.56
Crystal system: cubic
Calculated formation energy, meV per atom: 1575.2

=====

Record 7
Entry from the Alexandria database: a relaxed NbCu2Mo crystal (PBE).

Lattice parameters (Å, degrees): 4.361 4.361 4.361 60.00 60.00 60.00
Fractional coordinates of all 4 atoms:
1 Mo 0.500 0.500 0.500
2 Nb 0.000 0.000 0.000
3 Cu 0.250 0.250 0.250
4 Cu 0.750 0.750 0.750

Volume, Å³ per atom: 14.67
Energy relative to the lowest polymorph listed for this composition, meV per atom: 0.0
E, eV per atom: -6.94
Magnetic moment, μB per atom: 0.00
DOS at the Fermi energy, states/eV/cell: 5.47
Crystal system: cubic
Calculated formation energy, meV per atom: 335.8

=====

Record 8
Entry from the Alexandria database: a relaxed NbCu2Mo crystal (PBE).

Lattice parameters (Å, degrees): 7.033 7.033 5.576 50.91 50.91 90.00
Fractional coordinates of all 8 atoms:
1 Mo 0.000 0.000 0.000
2 Mo 0.750 0.250 0.500
3 Nb 0.500 0.500 0.000
4 Nb 0.250 0.750 0.500
5 Cu 0.633 0.125 0.250
6 Cu 0.117 0.625 0.250
7 Cu 0.375 0.367 0.750
8 Cu 0.875 0.883 0.750

Volume, Å³ per atom: 15.60
Energy relative to the lowest polymorph listed for this composition, meV per atom: 246.2
E, eV per atom: -6.69
Magnetic moment, μB per atom: 0.00
DOS at the Fermi energy, states/eV/cell: 5.25
Crystal system: tetragonal
Calculated formation energy, meV per atom: 582.0

=====

Record 9
Entry from the Alexandria database: a relaxed NbCuMo3 crystal (PBE).

Lattice parameters (Å, degrees): 4.505 4.505 4.505 90.00 90.00 90.00
Fractional coordinates of all 5 atoms:
1 Mo 0.000 0.500 0.000
2 Mo 0.000 0.000 0.500
3 Mo 0.500 0.000 0.000
4 Nb 0.500 0.500 0.500
5 Cu 0.000 0.000 0.000

Volume, Å³ per atom: 18.28
Energy relative to the lowest polymorph listed for this composition, meV per atom: 0.0
E, eV per atom: -7.84
Magnetic moment, μB per atom: 0.00
DOS at the Fermi energy, states/eV/cell: 7.05
Crystal system: cubic
Calculated formation energy, meV per atom: 1490.2

=====

Record 10
Entry from the Alexandria database: a relaxed Nb2CuMo crystal (PBE).

Lattice parameters (Å, degrees): 3.284 3.284 6.010 90.00 90.00 90.00
Fractional coordinates of all 4 atoms:
1 Mo 0.500 0.500 0.000
2 Nb 0.000 0.000 0.747
3 Nb 0.000 0.000 0.253
4 Cu 0.500 0.500 0.500

Volume, Å³ per atom: 16.21
E, eV per atom: -8.77
Magnetic moment, μB per atom: 0.00
DOS at the Fermi energy, states/eV/cell: 3.29
Crystal system: tetragonal
Calculated formation energy, meV per atom: 0.7

=====

Record 11
Entry from the Alexandria database: a relaxed Nb5CuMo4 crystal (PBE).

Lattice parameters (Å, degrees): 3.254 3.254 15.754 90.00 90.00 90.00
Fractional coordinates of all 10 atoms:
1 Nb 0.500 0.500 0.095
2 Nb 0.500 0.500 0.295
3 Nb 0.500 0.500 0.500
4 Nb 0.500 0.500 0.705
5 Nb 0.500 0.500 0.905
6 Cu 0.000 0.000 0.000
7 Mo 0.000 0.000 0.192
8 Mo 0.000 0.000 0.398
9 Mo 0.000 0.000 0.602
10 Mo 0.000 0.000 0.808

Volume, Å³ per atom: 16.68
E, eV per atom: -9.85
Magnetic moment, μB per atom: 0.00
DOS at the Fermi energy, states/eV/cell: 8.19
Crystal system: tetragonal
Calculated formation energy, meV per atom: -70.7

=====

Record 12
Entry from the Alexandria database: a relaxed Nb2CuMo crystal (PBE).

Lattice parameters (Å, degrees): 7.149 7.149 5.732 51.42 51.42 90.00
Fractional coordinates of all 8 atoms:
1 Mo 0.000 0.000 0.000
2 Mo 0.750 0.250 0.500
3 Nb 0.617 0.125 0.250
4 Nb 0.133 0.625 0.250
5 Nb 0.375 0.383 0.750
6 Nb 0.875 0.867 0.750
7 Cu 0.500 0.500 0.000
8 Cu 0.250 0.750 0.500

Volume, Å³ per atom: 17.27
E, eV per atom: -8.19
Magnetic moment, μB per atom: 0.00
DOS at the Fermi energy, states/eV/cell: 2.90
Crystal system: tetragonal
Calculated formation energy, meV per atom: 576.2